Material: CoAg3Cl6F2
Method: DFT, GGA+U
State: optimized geometry

abc: 12.495 7.112 5.865
angles: 90.00 102.55 90.00
Space group C2/m (No. 12)
Symmetry-distinct sites (fractional):
Co 0.000 0.000 0.000 (multiplicity 2)
Ag 0.000 0.500 0.500 (multiplicity 2)
Ag 0.250 0.250 0.000 (multiplicity 4)
Cl 0.098 0.229 0.227 (multiplicity 8)
Cl 0.119 0.000 0.764 (multiplicity 4)
F 0.147 0.500 0.752 (multiplicity 4)

Values from the calculation:
Calculated total energy: -35.6 eV per formula unit